Density functional theory data (PBE+U) for crystalline LiVSi4H2O12 at its relaxed geometry.

Geometry as extended XYZ:
```
40
Lattice="7.3272 0.0000 0.0000 0.1191 8.1314 0.0000 0.0633 3.8734 8.2885" Properties=species:S:1:pos:R:3 pbc="T T T"
Li 0.9223 3.5754 2.5755
Li 6.5874 8.4293 5.7130
V 0.0912 6.0024 4.1443
V 3.6953 1.9367 4.1443
Si 0.9690 8.9295 2.8373
Si 1.9725 10.4440 6.7328
Si 1.9531 6.4665 1.5284
Si 2.8509 4.8287 5.5752
Si 4.6587 7.1760 2.7134
Si 5.5565 5.5383 6.7601
Si 5.5371 1.5607 1.5558
Si 6.5407 3.0752 5.4512
H 2.2786 3.9096 0.3042
H 3.0189 2.9994 1.3730
H 4.4908 9.0053 6.9155
H 5.2311 8.0952 7.9843
O 0.3439 7.8889 3.9421
O 0.4889 10.1873 6.0611
O 0.8827 5.6260 2.4361
O 1.5876 8.0578 1.6027
O 1.7657 5.8514 4.9251
O 1.9423 9.8458 8.2565
O 1.9184 1.8621 3.4501
O 2.1399 3.9256 6.7572
O 2.1349 3.2848 1.0356
O 3.1321 9.6594 5.8999
O 3.4415 3.7560 4.4751
O 3.4815 6.2521 2.0595
O 4.0281 5.7526 6.2290
O 4.0681 8.2487 3.8134
O 4.3776 2.3453 2.3886
O 5.3747 8.7200 7.2530
O 5.3698 8.0791 1.5314
O 5.5912 10.1426 4.8384
O 5.5673 2.1590 0.0321
O 5.7440 6.1533 3.3634
O 5.9220 3.9470 6.6858
O 6.6269 6.3787 5.8525
O 7.0207 1.8175 2.2274
O 7.1658 4.1158 4.3465
```

* symmetry: P-1 (2)
* total DFT energy (no corrections): -285.3 eV per cell
* mass density: 2.450 g/cm3